# Li2MnF4

Crystalline Li2MnF4 at its relaxed geometry (PBEsol, Alexandria).

## Properties
E_form (uncorrected): -17.98 eV per formula unit
SG: I-4, No. 82
uncorrected energy: -39.383 eV for the cell shown

Cell: 5.3134 5.3134 5.3134 Å, 127.21 127.21 77.90°
Last column: nearest neighbours and their distance in Å.
Element x y z (fractional)
Li  0.0000  0.0000  0.0000  4 F 1.84
Li  0.7500  0.2500  0.5000  4 F 1.88
Mn  0.2500  0.7500  0.5000  4 F 1.99
F  0.0718  0.6375  0.9808  2 Li 1.84-1.88, 1 Mn 1.99
F  0.3625  0.3433  0.4344  2 Li 1.84-1.88, 1 Mn 1.99
F  0.6567  0.0911  0.0192  2 Li 1.84-1.88, 1 Mn 1.99
F  0.9089  0.9282  0.5656  2 Li 1.84-1.88, 1 Mn 1.99

# LiMn2NiF

Crystalline LiMn2NiF at its relaxed geometry (PBEsol, Alexandria).

## Properties
E_form (uncorrected): 2.29 eV per formula unit
SG: P4/mmm, No. 123
uncorrected energy: -27.283 eV for the cell shown

Cell: 4.4530 4.4530 4.5056 Å, 90.00 90.00 90.00°
Last column: nearest neighbours and their distance in Å.
Element x y z (fractional)
Li  0.0000  0.0000  0.0000  2 Ni 2.25
Mn  0.0000  0.5000  0.5000  2 Ni 2.23
Mn  0.5000  0.0000  0.5000  2 Ni 2.23
Ni  0.0000  0.0000  0.5000  4 Mn 2.23, 2 Li 2.25
F  0.5000  0.5000  0.0000  4 Li 3.15, 8 Mn 3.17

# Li4Mn2OF7

Crystalline Li4Mn2OF7 at its relaxed geometry (PBEsol, Alexandria).

## Properties
E_form (uncorrected): -35.59 eV per formula unit
SG: P1, No. 1
uncorrected energy: -81.723 eV for the cell shown

Cell: 5.8650 5.8944 5.9023 Å, 62.37 60.76 60.91°
Last column: nearest neighbours and their distance in Å.
Element x y z (fractional)
Li  0.0000  0.0000  0.0000  6 F 1.98-2.06
Li  0.1024  0.6271  0.6293  3 F 1.88-1.95, 1 O 1.94
Li  0.5083  0.9947  0.9961  1 O 2.01, 5 F 2.01-2.14
Li  0.8716  0.3910  0.3904  4 F 1.91-1.98
Mn  0.5089  0.5115  0.9970  1 O 1.86, 3 F 2.01-2.06
Mn  0.5094  0.9962  0.5123  1 O 1.87, 3 F 2.01-2.07
O  0.7004  0.7546  0.7563  2 Mn 1.86-1.87, 2 Li 1.94-2.01
F  0.2307  0.7611  0.7624  2 Li 1.88-1.98
F  0.2498  0.2326  0.7606  3 Li 1.95-2.09, 1 Mn 2.01
F  0.2497  0.7585  0.2336  3 Li 1.95-2.09, 1 Mn 2.01
F  0.2818  0.2526  0.2532  2 Li 1.98-2.14, 2 Mn 2.06-2.07
F  0.7358  0.2426  0.7825  3 Li 1.94-2.04, 1 Mn 2.01
F  0.7359  0.7822  0.2421  3 Li 1.93-2.04, 1 Mn 2.02
F  0.7559  0.2486  0.2482  2 Li 1.91-2.06, 2 Mn 2.11-2.12